# PBE-GGA Zn2ReMo, relaxed
data_Zn2ReMo
_symmetry_space_group_name_H-M 'C m m 2'
_symmetry_Int_Tables_number 35
_cell_length_a 3.0557
_cell_length_b 4.4657
_cell_length_c 8.8914
_cell_angle_alpha 90.00
_cell_angle_beta 90.00
_cell_angle_gamma 90.00
loop_
_symmetry_equiv_pos_as_xyz
'x,y,z'
'-x,-y,z'
'-x,y,z'
'x,-y,z'
'x+1/2,y+1/2,z'
'-x+1/2,-y+1/2,z'
'-x+1/2,y+1/2,z'
'x+1/2,-y+1/2,z'
loop_
_atom_site_label
_atom_site_fract_x
_atom_site_fract_y
_atom_site_fract_z
Zn1 0.0000 0.0000 0.0000
Zn2 0.0000 0.5000 0.2471
Re1 0.0000 0.5000 0.7473
Mo1 0.0000 0.0000 0.5016
# Formation energy in eV per atom: 0.136
# E above lowest polymorph in eV per atom: 0.025
# DFT total energy in eV/atom: -6.320
# Density in g/cm³: 11.304
# D(E_F) in states/eV/f.u.: 2.2